KNa2CuCl4: optimized geometry, PBE-GGA.

Cell and atoms, written as extended XYZ:
```
16
Lattice="-0.282 2.505 3.128 -6.209 -3.546 -0.300 5.309 -10.016 8.501" Properties=species:S:1:pos:R:3 pbc="T T T"
Cu -0.684 -3.231 2.526
Cl -1.503 -9.493 7.467
Cl 2.654 -5.008 4.251
Cl 0.000 0.000 0.000
K -3.715 -3.021 4.664
Cl -2.699 -2.394 1.674
Cl 1.517 -8.664 9.655
K 2.532 -8.036 6.664
Na 0.329 -11.212 9.009
Cu -0.498 -7.827 8.803
Cl 0.125 -6.037 7.426
Na 0.606 -3.841 5.711
Cl 0.321 -1.564 3.861
Na -1.789 -7.216 5.618
Cl -1.307 -5.020 3.903
Na -1.512 0.155 2.320
```

Computed properties:
electronic total energy	-3.39	eV per atom
total moment	0.084	μB per formula unit
raw formation energy	-1.483	eV/atom
SG	No. 63
crystal system	orthorhombic
Fermi-level density of states	0.00	states/eV per cell

KNa2Cu2Cl7: optimized geometry, PBE-GGA.

Cell and atoms, written as extended XYZ:
```
12
Lattice="-1.224 4.216 -2.103 1.568 -1.685 -4.290 -10.498 -2.944 -5.462" Properties=species:S:1:pos:R:3 pbc="T T T"
Cl 0.172 1.266 -3.196
Cu -2.038 0.394 -3.667
Cu -8.115 -0.806 -8.188
Cl -8.940 0.028 -6.055
Cl -7.540 -2.933 -7.152
K 0.000 0.000 0.000
Cl -4.174 -0.443 -4.135
Cl -2.614 2.520 -4.703
Na -6.667 -1.406 -4.718
Na -3.487 0.994 -7.137
Cl -1.213 -0.440 -5.800
Cl -5.979 0.031 -7.720
```

Computed properties:
electronic total energy	-3.20	eV per atom
total moment	0.000	μB per formula unit
raw formation energy	-1.128	eV/atom
SG	No. 12
crystal system	monoclinic
Fermi-level density of states	3.48	states/eV per cell

K2NaCu2Cl7: optimized geometry, PBE-GGA.

Cell and atoms, written as extended XYZ:
```
12
Lattice="4.860 -0.003 0.012 0.003 4.860 0.012 2.400 2.398 12.394" Properties=species:S:1:pos:R:3 pbc="T T T"
Na 0.000 0.000 0.000
Cl 4.855 2.422 2.253
Cl 2.431 2.428 0.012
Cl 2.428 4.852 2.253
K 4.854 4.848 4.461
Cl 4.843 4.838 7.643
K 2.410 2.407 7.958
Cl 2.420 2.417 4.776
Cu 2.423 2.420 2.390
Cu 4.840 4.834 10.030
Cl 2.408 4.833 10.166
Cl 4.836 2.402 10.166
```

Computed properties:
electronic total energy	-3.22	eV per atom
total moment	0.000	μB per formula unit
raw formation energy	-1.168	eV/atom
SG	No. 139
crystal system	tetragonal
Fermi-level density of states	3.49	states/eV per cell

KNdCuCl6: optimized geometry, PBE-GGA.

Cell and atoms, written as extended XYZ:
```
9
Lattice="7.227 -0.002 0.348 3.623 5.576 0.171 0.347 -0.006 7.066" Properties=species:S:1:pos:R:3 pbc="T T T"
Cl 2.958 0.238 5.110
Cl 6.158 2.057 5.714
Cu 3.783 1.865 3.698
Cl 1.428 2.042 1.715
K 3.973 5.357 7.234
Cl 2.632 3.485 4.891
Cl 4.619 0.231 2.302
Cl 4.951 3.481 2.515
Nd 7.403 3.512 3.881
```

Computed properties:
electronic total energy	-3.93	eV per atom
total moment	0.992	μB per formula unit
raw formation energy	-1.596	eV/atom
SG	No. 1
crystal system	triclinic

K3Cu2NiCl9: optimized geometry, PBE-GGA.

Cell and atoms, written as extended XYZ:
```
15
Lattice="6.842 0.000 0.000 -3.421 5.925 0.000 0.000 0.000 8.357" Properties=species:S:1:pos:R:3 pbc="T T T"
Cu 0.000 3.950 1.390
Cl 1.673 0.966 5.533
K 0.000 0.000 0.000
K 0.000 3.950 5.605
Cl -1.748 4.960 2.824
Ni 0.000 0.000 4.178
Cl 3.421 3.994 5.533
K 3.421 1.975 2.752
Cl -1.711 2.963 0.000
Cl 1.748 4.960 2.824
Cl 5.169 0.966 5.533
Cl 1.711 2.963 0.000
Cl 0.000 1.932 2.824
Cu 3.421 1.975 6.967
Cl 3.421 0.000 0.000
```

Computed properties:
electronic total energy	-3.35	eV per atom
total moment	0.204	μB per formula unit
raw formation energy	-1.091	eV/atom
SG	No. 164
crystal system	trigonal
Fermi-level density of states	4.39	states/eV per cell

KCu2NiCl6: optimized geometry, PBE-GGA.

Cell and atoms, written as extended XYZ:
```
20
Lattice="-7.229 1.514 -1.563 -4.620 0.316 7.682 -1.232 8.879 0.305" Properties=species:S:1:pos:R:3 pbc="T T T"
Cu -3.239 2.659 2.559
Cl -10.042 8.995 1.727
Cu -6.509 4.287 1.028
Cu -9.841 8.049 3.865
Cl -4.559 5.445 5.781
Cl -6.776 7.832 7.300
Cl -5.180 6.194 0.708
Ni -3.655 7.700 1.256
Cl -3.038 1.713 4.697
K -7.250 8.507 0.431
Ni -9.425 3.009 5.168
Cl -8.521 5.263 0.643
Cl -7.901 4.515 5.716
Cl -7.616 7.612 3.785
Cl -5.464 3.096 2.638
Cl -6.305 2.877 -0.876
Cl -9.916 9.787 5.487
Cu -6.571 6.422 5.396
Cl -3.164 0.922 0.937
K -5.831 2.201 5.993
```

Computed properties:
electronic total energy	-3.41	eV per atom
total moment	3.075	μB per formula unit
raw formation energy	-0.791	eV/atom
SG	No. 15
crystal system	monoclinic
Fermi-level density of states	6.00	states/eV per cell

K3CuNi2Cl9: optimized geometry, PBE-GGA.

Cell and atoms, written as extended XYZ:
```
15
Lattice="6.788 0.000 0.000 -3.394 5.878 0.000 0.000 0.000 8.306" Properties=species:S:1:pos:R:3 pbc="T T T"
Cl -1.697 2.939 0.000
Ni 0.000 3.919 1.374
Ni 3.394 1.959 6.932
Cl 3.394 0.000 0.000
K 0.000 3.919 5.523
Cl 1.666 4.881 2.728
K 3.394 1.959 2.782
Cu 0.000 0.000 4.153
Cl -1.666 4.881 2.728
Cl 1.728 0.998 5.577
Cl 3.394 3.883 5.577
Cl 5.060 0.998 5.577
Cl 1.697 2.939 0.000
K 0.000 0.000 0.000
Cl 0.000 1.995 2.728
```

Computed properties:
electronic total energy	-3.45	eV per atom
total moment	0.334	μB per formula unit
raw formation energy	-1.083	eV/atom
SG	No. 164
crystal system	trigonal
Fermi-level density of states	5.20	states/eV per cell

K3Cu2NiCl8: optimized geometry, PBE-GGA.

Cell and atoms, written as extended XYZ:
```
14
Lattice="-6.871 0.059 -0.170 3.345 -5.745 1.746 -0.190 2.476 8.510" Properties=species:S:1:pos:R:3 pbc="T T T"
Cl -3.471 -1.801 0.726
Cl 1.646 -3.981 4.310
K 0.000 0.000 0.000
Cl -0.244 -1.409 9.359
K -3.536 -0.958 3.623
Cu -0.101 -3.279 2.933
Cu -3.615 0.069 7.153
Cl -0.093 -0.994 3.403
K -0.180 -2.252 6.463
Cl -5.362 0.771 5.775
Cl -1.790 0.740 5.864
Cl -1.926 -3.950 4.222
Ni -0.095 1.238 4.255
Cl -3.623 -2.216 6.683
```

Computed properties:
electronic total energy	-3.41	eV per atom
total moment	1.002	μB per formula unit
raw formation energy	-1.126	eV/atom
SG	No. 164
crystal system	trigonal
Fermi-level density of states	3.49	states/eV per cell

K3NpCu2Cl9: optimized geometry, PBE-GGA.

Cell and atoms, written as extended XYZ:
```
15
Lattice="7.217 0.000 0.000 -3.608 6.250 0.000 0.000 0.000 9.057" Properties=species:S:1:pos:R:3 pbc="T T T"
Cl 3.608 4.121 6.092
K 0.000 4.167 6.555
Cl -1.804 3.125 0.000
Cl 1.844 1.064 6.092
Cu 0.000 4.167 1.199
Cl 1.765 5.186 2.964
Cl 3.608 0.000 0.000
Np 0.000 0.000 4.528
Cu 3.608 2.083 7.858
K 3.608 2.083 2.501
K 0.000 0.000 0.000
Cl 5.373 1.064 6.092
Cl 0.000 2.129 2.964
Cl -1.765 5.186 2.964
Cl 1.804 3.125 0.000
```

Computed properties:
electronic total energy	-4.15	eV per atom
total moment	2.943	μB per formula unit
raw formation energy	-1.417	eV/atom
SG	No. 164
crystal system	trigonal
Fermi-level density of states	6.76	states/eV per cell

KNpCuCl6: optimized geometry, PBE-GGA.

Cell and atoms, written as extended XYZ:
```
18
Lattice="-2.743 -6.007 0.760 5.454 0.715 -3.733 8.177 -2.278 11.512" Properties=species:S:1:pos:R:3 pbc="T T T"
K 0.000 0.000 0.000
Cl 1.198 -4.653 4.535
Cl 2.869 -3.731 -0.198
Np 6.122 -5.475 7.896
Cl 8.018 -3.839 8.737
Cl 0.428 -6.020 1.083
Cl 9.690 -2.917 4.004
Cu 2.033 -4.336 2.140
Cl 3.847 -2.768 3.026
K 4.089 -1.139 5.756
Cu 8.854 -3.234 6.399
Cl 3.628 -6.304 2.482
Cl 7.259 -1.266 6.057
Cl 10.460 -1.550 7.456
Cl 7.041 -4.802 5.512
Cl 10.658 -5.031 6.626
Np 4.766 -2.095 0.643
Cl 0.229 -2.539 1.913
```

Computed properties:
electronic total energy	-4.69	eV per atom
total moment	2.989	μB per formula unit
raw formation energy	-1.446	eV/atom
SG	No. 163
crystal system	trigonal
Fermi-level density of states	15.75	states/eV per cell

K2NpCuCl6: optimized geometry, PBE-GGA.

Cell and atoms, written as extended XYZ:
```
10
Lattice="-0.742 -7.083 2.328 0.793 -3.493 -6.181 5.715 5.576 2.519" Properties=species:S:1:pos:R:3 pbc="T T T"
Np 5.675 0.269 0.559
Cl 0.910 -4.149 -4.281
Cu 0.886 0.573 0.032
K 3.197 -2.209 -2.856
Cl 2.387 -4.713 -0.982
K 2.441 -2.942 1.616
Cl 4.767 -0.986 2.861
Cl 0.812 -7.782 -2.962
Cl 4.669 2.537 1.528
Cl 3.055 -0.329 -0.290
```

Computed properties:
electronic total energy	-4.58	eV per atom
total moment	4.000	μB per formula unit
raw formation energy	-1.547	eV/atom
SG	No. 1
crystal system	triclinic
Fermi-level density of states	5.91	states/eV per cell

K2CuClO: optimized geometry, PBE-GGA.

Cell and atoms, written as extended XYZ:
```
5
Lattice="-0.966 -2.986 4.599 -3.967 -2.842 -2.679 2.486 -2.458 -1.074" Properties=species:S:1:pos:R:3 pbc="T T T"
K -0.483 -1.493 2.299
Cu 1.243 -1.229 -0.537
O 0.000 0.000 0.000
Cl -1.224 -4.143 0.423
K -1.984 -1.421 -1.340
```

Computed properties:
electronic total energy	-3.90	eV per atom
total moment	0.000	μB per formula unit
raw formation energy	-1.278	eV/atom
SG	No. 123
crystal system	tetragonal